Entry 1:
# Ta4HN2

A relaxed Ta4HN2 crystal (PBE, the Alexandria database).

Values from the calculation:
V ... 13.33 Å³ per atom
Calculated total energy ... -9.492 eV per atom
Magnetic moment ... 0.00 μB/f.u.

a = 4.0326 Å, b = 4.0326 Å, c = 11.4791 Å
α = 90.00°, β = 90.00°, γ = 90.00°
Last column: nearest neighbours and their distance in Å.
Space group I4/mmm (No. 139)
Asymmetric unit:
Ta (0.0000, 0.0000, 0.2407)  1 N 1.90
Ta (0.0000, 0.5000, 0.0000)  2 H 2.02
H (0.0000, 0.0000, 0.0000)  4 Ta 2.02
N (0.0000, 0.0000, 0.4060)  1 Ta 1.90

---

Entry 2:
# TaHN3

A relaxed TaHN3 crystal (PBE, the Alexandria database).

Values from the calculation:
V ... 7.20 Å³ per atom
Calculated total energy ... -6.846 eV per atom
Magnetic moment ... 0.00 μB/f.u.

a = 3.3023 Å, b = 3.3023 Å, c = 3.3023 Å
α = 90.00°, β = 90.00°, γ = 90.00°
Last column: nearest neighbours and their distance in Å.
Space group Pm-3m (No. 221)
Asymmetric unit:
Ta (0.0000, 0.0000, 0.0000)  12 N 2.34
H (0.5000, 0.5000, 0.5000)  6 N 1.65
N (0.0000, 0.5000, 0.5000)  2 H 1.65

---

Entry 3:
# Ta4HN

A relaxed Ta4HN crystal (PBE, the Alexandria database).

Values from the calculation:
V ... 13.41 Å³ per atom
Calculated total energy ... -10.248 eV per atom
Magnetic moment ... 0.00 μB/f.u.
Distance to the lowest polymorph of the same formula ... 36 meV/atom

a = 6.0952 Å, b = 8.8508 Å, c = 2.9829 Å
α = 90.00°, β = 90.00°, γ = 90.00°
Last column: nearest neighbours and their distance in Å.
Space group Cmmm (No. 65)
Asymmetric unit:
Ta (0.0000, 0.2477, 0.0000)  1 N 2.19, 1 H 2.23
Ta (0.2494, 0.5000, 0.5000)  2 H 2.13, 2 N 2.13
H (0.0000, 0.5000, 0.0000)  6 Ta 2.13-2.23
N (0.0000, 0.0000, 0.0000)  6 Ta 2.13-2.19

---

Entry 4:
# TaHN3

A relaxed TaHN3 crystal (PBE, the Alexandria database).

Values from the calculation:
V ... 13.50 Å³ per atom
Calculated total energy ... -6.834 eV per atom
Magnetic moment ... 2.06 μB/f.u.

a = 4.0717 Å, b = 4.0717 Å, c = 4.0717 Å
α = 90.00°, β = 90.00°, γ = 90.00°
Last column: nearest neighbours and their distance in Å.
Space group Pm-3m (No. 221)
Asymmetric unit:
Ta (0.0000, 0.0000, 0.0000)  6 N 2.04
H (0.5000, 0.5000, 0.5000)  12 N 2.88
N (0.0000, 0.0000, 0.5000)  2 Ta 2.04

---

Entry 5:
# Ta4HN

A relaxed Ta4HN crystal (PBE, the Alexandria database).

Values from the calculation:
V ... 13.51 Å³ per atom
Calculated total energy ... -10.285 eV per atom
Magnetic moment ... 0.00 μB/f.u.
Distance to the lowest polymorph of the same formula ... 0 meV/atom

a = 7.0899 Å, b = 7.0899 Å, c = 6.4516 Å
α = 90.00°, β = 90.00°, γ = 90.00°
Last column: nearest neighbours and their distance in Å.
Space group I4_1md (No. 109)
Asymmetric unit:
Ta (0.0000, 0.2112, 0.0000)  1 H 1.97, 2 N 2.05-2.17
Ta (0.0000, 0.2256, 0.5133)  1 H 1.99
H (0.0000, 0.0000, 0.1992)  4 Ta 1.97-1.99
N (0.0000, 0.0000, 0.7557)  6 Ta 2.05-2.24

---

Entry 6:
# TaHN

A relaxed TaHN crystal (PBE, the Alexandria database).

Values from the calculation:
V ... 8.34 Å³ per atom
Calculated total energy ... -7.706 eV per atom
Magnetic moment ... 0.00 μB/f.u.

a = 2.8839 Å, b = 6.5878 Å, c = 5.2690 Å
α = 90.00°, β = 90.00°, γ = 90.00°
Last column: nearest neighbours and their distance in Å.
Space group Cmcm (No. 63)
Asymmetric unit:
Ta (0.0000, 0.0000, 0.0000)  4 H 2.06
H (0.0000, 0.3991, 0.2500)  3 N 1.96-1.97, 4 Ta 2.06
N (0.0000, 0.3017, 0.7500)  3 H 1.96-1.97

---

Entry 7:
# Ta2TcHN

A relaxed Ta2TcHN crystal (PBE, the Alexandria database).

Values from the calculation:
V ... 12.14 Å³ per atom
Calculated total energy ... -8.515 eV per atom
Magnetic moment ... 0.00 μB/f.u.

a = 4.4551 Å, b = 4.4551 Å, c = 3.0579 Å
α = 90.00°, β = 90.00°, γ = 90.00°
Last column: nearest neighbours and their distance in Å.
Space group P4/mmm (No. 123)
Asymmetric unit:
Ta (0.0000, 0.5000, 0.0000)  2 H 2.23
Tc (0.0000, 0.0000, 0.5000)  8 Ta 2.70
H (0.5000, 0.5000, 0.0000)  2 N 1.53
N (0.5000, 0.5000, 0.5000)  2 H 1.53

---

Entry 8:
# TaTe2HN

A relaxed TaTe2HN crystal (PBE, the Alexandria database).

Values from the calculation:
V ... 24.25 Å³ per atom
Calculated total energy ... -5.375 eV per atom
Magnetic moment ... 0.55 μB/f.u.
Distance to the lowest polymorph of the same formula ... 0 meV/atom

a = 5.5885 Å, b = 5.5885 Å, c = 3.8818 Å
α = 90.00°, β = 90.00°, γ = 90.00°
Last column: nearest neighbours and their distance in Å.
Space group P4/mmm (No. 123)
Asymmetric unit:
Ta (0.0000, 0.0000, 0.0000)  2 N 1.94
Te (0.0000, 0.5000, 0.0000)  2 Ta 2.79
H (0.5000, 0.5000, 0.5000)  8 Te 3.40
N (0.0000, 0.0000, 0.5000)  2 Ta 1.94